<a>
This record from Alexandria via LeMat-Bulk describes a relaxed Fe3RhF crystal. The functional is PBE with a Hubbard U.

Summary:
V: 115.3 Å³/f.u.

Cell: 4.867 4.867 4.867 Å, 90.00 90.00 90.00°
Site moments in Bohr magnetons follow the coordinates.
Sites, in units of the cell vectors:
Rh 0.000 0.000 0.000  0.29
Fe 0.000 0.500 0.000  3.75
Fe 0.000 0.000 0.500  3.72
Fe 0.500 0.000 0.000  3.81
F 0.500 0.500 0.500  0.05

<b>
This record from Alexandria via LeMat-Bulk describes a relaxed Fe3RhF crystal. The functional is PBE with a Hubbard U.

Summary:
V: 70.3 Å³/f.u.

Cell: 4.126 4.126 4.126 Å, 90.00 90.00 90.00°
Site moments in Bohr magnetons follow the coordinates.
Sites, in units of the cell vectors:
Rh 0.500 0.500 0.500  0.47
Fe 0.000 0.500 0.000  3.65
Fe 0.000 0.000 0.500  3.60
Fe 0.500 0.000 0.000  3.83
F 0.000 0.000 0.000  0.12

Among the structures shown above, <b> is the most stable, with the second-best lying 346 meV per atom higher.